# LaAs3C (PBE-GGA, optimized geometry)
# - DOS at the Fermi energy: 3.4 states/eV/f.u.
# - Total energy: -26.77 eV for the cell shown
# - Formation enthalpy at 0 K: 6.149 kcal/mol of atoms
# - Excess energy over the best structure of this formula in the dataset: 0.000 eV per atom
data_LaAs3C
_chemical_formula_sum 'La1 As3 C1'
_cell_length_a 4.566
_cell_length_b 4.566
_cell_length_c 4.566
_cell_angle_alpha 90.00
_cell_angle_beta 90.00
_cell_angle_gamma 90.00
_space_group_name_H-M_alt 'P m -3 m'
_space_group_IT_number 221
_space_group_name_Hall '-P 4 2 3'
loop_
_atom_site_label
_atom_site_type_symbol
_atom_site_fract_x
_atom_site_fract_y
_atom_site_fract_z
_atom_site_occupancy
La1 La 0.000 0.000 0.000 1
As1 As 0.000 0.500 0.500 1
C1 C 0.500 0.500 0.500 1